Entry from Alexandria: a relaxed Sm3Ag5S12 crystal (PBE-GGA).

a b c (Å): 13.3946 13.3946 13.3946
angles (deg): 109.47 109.47 109.47
Atoms (fractional coordinates):
1 Sm 0.1250 0.2500 0.3750
2 Sm 0.1250 0.3750 0.7500
3 Sm 0.2500 0.3750 0.1250
4 Sm 0.2500 0.8750 0.6250
5 Sm 0.3750 0.1250 0.2500
6 Sm 0.3750 0.7500 0.1250
7 Sm 0.6250 0.2500 0.8750
8 Sm 0.6250 0.8750 0.7500
9 Sm 0.7500 0.1250 0.3750
10 Sm 0.7500 0.6250 0.8750
11 Sm 0.8750 0.6250 0.2500
12 Sm 0.8750 0.7500 0.6250
13 Ag 0.0000 0.0000 0.0000
14 Ag 0.0000 0.0000 0.5000
15 Ag 0.0000 0.5000 0.0000
16 Ag 0.0000 0.5000 0.5000
17 Ag 0.1250 0.7500 0.8750
18 Ag 0.1250 0.8750 0.2500
19 Ag 0.2500 0.1250 0.8750
20 Ag 0.2500 0.6250 0.3750
21 Ag 0.3750 0.2500 0.6250
22 Ag 0.3750 0.6250 0.7500
23 Ag 0.5000 0.0000 0.0000
24 Ag 0.5000 0.0000 0.5000
25 Ag 0.5000 0.5000 0.0000
26 Ag 0.5000 0.5000 0.5000
27 Ag 0.6250 0.3750 0.2500
28 Ag 0.6250 0.7500 0.3750
29 Ag 0.7500 0.3750 0.6250
30 Ag 0.7500 0.8750 0.1250
31 Ag 0.8750 0.1250 0.7500
32 Ag 0.8750 0.2500 0.1250
33 S 0.0430 0.2113 0.1313
34 S 0.0430 0.3318 0.9117
35 S 0.0800 0.7113 0.6682
36 S 0.0800 0.8687 0.4117
37 S 0.0883 0.6313 0.4200
38 S 0.0883 0.9570 0.6682
39 S 0.1313 0.0430 0.2113
40 S 0.1313 0.5883 0.9200
41 S 0.1682 0.2113 0.5800
42 S 0.1682 0.4570 0.5883
43 S 0.2113 0.1313 0.0430
44 S 0.2113 0.5800 0.1682
45 S 0.2887 0.3318 0.9200
46 S 0.2887 0.4570 0.3687
47 S 0.3318 0.9117 0.0430
48 S 0.3318 0.9200 0.2887
49 S 0.3687 0.2887 0.4570
50 S 0.3687 0.5800 0.9117
51 S 0.4117 0.0800 0.8687
52 S 0.4117 0.8318 0.5430
53 S 0.4200 0.0883 0.6313
54 S 0.4200 0.8318 0.7887
55 S 0.4570 0.3687 0.2887
56 S 0.4570 0.5883 0.1682
57 S 0.5430 0.4117 0.8318
58 S 0.5430 0.6313 0.7113
59 S 0.5800 0.1682 0.2113
60 S 0.5800 0.9117 0.3687
61 S 0.5883 0.1682 0.4570
62 S 0.5883 0.9200 0.1313
63 S 0.6313 0.4200 0.0883
64 S 0.6313 0.7113 0.5430
65 S 0.6682 0.0800 0.7113
66 S 0.6682 0.0883 0.9570
67 S 0.7113 0.5430 0.6313
68 S 0.7113 0.6682 0.0800
69 S 0.7887 0.4200 0.8318
70 S 0.7887 0.8687 0.9570
71 S 0.8318 0.5430 0.4117
72 S 0.8318 0.7887 0.4200
73 S 0.8687 0.4117 0.0800
74 S 0.8687 0.9570 0.7887
75 S 0.9117 0.0430 0.3318
76 S 0.9117 0.3687 0.5800
77 S 0.9200 0.1313 0.5883
78 S 0.9200 0.2887 0.3318
79 S 0.9570 0.6682 0.0883
80 S 0.9570 0.7887 0.8687

Output
energy = -353.58 eV per cell
ΔE_f (raw) = -523 meV per atom
SG = Ia-3d, No. 230
density = 4.94 g/cm³